PBE ScSeO4, optimized geometry; density = 3.51 g/cm³; SG = No. 1; crystal system = triclinic; formation energy without anion corrections = -1050 kJ/mol of formula units
1.0
5.312 0.000 0.000
1.674 6.613 0.000
0.002 0.004 10.118
Sc Se O
4 4 16
Direct
0.000 0.000 0.000
0.093 0.258 0.488
0.500 0.500 0.325
0.593 0.758 0.838
0.094 0.764 0.578
0.481 0.010 0.231
0.593 0.264 0.748
0.981 0.511 0.095
0.051 0.954 0.470
0.055 0.289 0.008
0.242 0.549 0.493
0.280 0.526 0.153
0.288 0.801 0.697
0.319 0.226 0.689
0.360 0.880 0.972
0.426 0.193 0.362
0.551 0.454 0.855
0.555 0.789 0.317
0.742 0.049 0.832
0.780 0.026 0.173
0.786 0.301 0.628
0.820 0.726 0.637
0.861 0.380 0.353
0.926 0.694 0.963

---

PBE Nd4Dy5Ho4, optimized geometry; formation energy = 19 meV/atom; density = 8.07 g/cm³; SG = No. 87; crystal system = tetragonal
1.0
-6.460 6.460 2.525
6.460 -6.460 2.525
6.460 6.460 -2.525
Nd Dy Ho
4 5 4
Direct
0.078 0.382 0.460
0.382 0.922 0.304
0.618 0.078 0.696
0.922 0.618 0.540
0.000 0.000 0.000
0.310 0.539 0.850
0.461 0.310 0.771
0.539 0.690 0.229
0.690 0.461 0.150
0.153 0.770 0.924
0.230 0.153 0.383
0.770 0.847 0.617
0.847 0.230 0.076

---

PBE SrTcAs2, optimized geometry; formation energy = -311 meV/atom; density = 6.47 g/cm³; energy above the most stable polymorph in this dataset = 0.1326 eV per atom; SG = No. 44; crystal system = orthorhombic
1.0
-1.653 1.792 7.266
1.653 -1.792 7.266
1.653 1.792 -7.266
Sr Tc As
1 1 2
Direct
0.000 0.000 0.000
0.244 0.744 0.500
0.371 0.371 0.000
0.673 0.173 0.500

---

PBE YCdAgPb2, optimized geometry; formation energy = 628 meV/atom; density = 6.11 g/cm³; SG = No. 123; crystal system = tetragonal
1.0
5.983 0.000 0.000
0.000 5.983 0.000
0.000 0.000 5.496
Y Cd Ag Pb
1 1 1 2
Direct
0.000 0.000 0.000
0.500 0.500 0.500
0.000 0.000 0.500
0.000 0.500 0.000
0.500 0.000 0.000

---

PBE Ac2La2Nd5, optimized geometry; formation energy = 154 meV/atom; density = 7.05 g/cm³; energy above the most stable polymorph in this dataset = 0.0265 eV per atom; SG = No. 46; crystal system = orthorhombic
1.0
-7.771 6.281 3.508
7.771 -6.281 3.508
7.771 6.281 -3.508
Ac La Nd
4 4 10
Direct
0.000 0.000 0.000
0.000 0.500 0.500
0.941 0.694 0.747
0.947 0.194 0.253
0.464 0.095 0.620
0.464 0.344 0.868
0.475 0.595 0.132
0.475 0.844 0.380
0.077 0.381 0.807
0.077 0.770 0.197
0.381 0.287 0.377
0.381 0.504 0.593
0.383 0.864 0.019
0.574 0.270 0.193
0.574 0.881 0.803
0.845 0.364 0.981
0.911 0.004 0.623
0.911 0.787 0.407

---

PBE NaSr2La2, optimized geometry; formation energy = 285 meV/atom; density = 3.36 g/cm³; energy above the most stable polymorph in this dataset = 0.0000 eV per atom; SG = No. 139; crystal system = tetragonal
1.0
-2.275 2.275 11.350
2.275 -2.275 11.350
2.275 2.275 -11.350
Na Sr La
1 2 2
Direct
0.000 0.000 0.000
0.399 0.399 0.000
0.601 0.601 0.000
0.250 0.750 0.500
0.750 0.250 0.500

---

PBE LiReP2, optimized geometry; formation energy = -253 meV/atom; density = 6.85 g/cm³; energy above the most stable polymorph in this dataset = 0.0676 eV per atom; SG = No. 44; crystal system = orthorhombic
1.0
-1.505 1.574 6.529
1.505 -1.574 6.529
1.505 1.574 -6.529
Li Re P
1 1 2
Direct
0.000 0.000 0.000
0.244 0.744 0.500
0.385 0.385 0.000
0.657 0.157 0.500

---

PBE Sr2Li3InHg4, optimized geometry; formation energy = -391 meV/atom; density = 7.20 g/cm³; SG = No. 115; crystal system = tetragonal
1.0
4.708 0.000 0.000
0.000 4.708 0.000
0.000 0.000 11.575
Sr Li In Hg
2 3 1 4
Direct
0.000 0.500 0.246
0.500 0.000 0.754
0.000 0.500 0.885
0.500 0.000 0.115
0.500 0.500 0.500
0.000 0.000 0.500
0.000 0.000 0.000
0.000 0.500 0.654
0.500 0.000 0.346
0.500 0.500 0.000

---

PBE BaLi2CuBr, optimized geometry; density = 1.73 g/cm³; SG = No. 123; crystal system = tetragonal; formation energy without anion corrections = 227 kJ/mol of formula units
1.0
6.886 0.000 0.000
0.000 6.886 0.000
0.000 0.000 5.957
Ba Li Cu Br
1 2 1 1
Direct
0.000 0.000 0.000
0.000 0.500 0.000
0.500 0.000 0.000
0.500 0.500 0.500
0.000 0.000 0.500

---

PBE SmPO4, optimized geometry; density = 5.55 g/cm³; SG = No. 14; crystal system = monoclinic; formation energy without anion corrections = -1730 kJ/mol of formula units
1.0
6.402 0.000 0.000
0.000 6.963 0.000
-4.747 0.000 6.583
Sm P O
4 4 16
Direct
0.188 0.155 0.284
0.188 0.345 0.784
0.812 0.655 0.216
0.812 0.845 0.716
0.309 0.660 0.198
0.309 0.840 0.698
0.691 0.160 0.302
0.691 0.340 0.802
0.118 0.667 0.617
0.118 0.833 0.117
0.185 0.503 0.249
0.185 0.997 0.749
0.342 0.600 0.030
0.342 0.900 0.530
0.412 0.209 0.123
0.412 0.291 0.623
0.588 0.709 0.377
0.588 0.791 0.877
0.658 0.100 0.470
0.658 0.400 0.970
0.815 0.003 0.251
0.815 0.497 0.751
0.882 0.167 0.883
0.882 0.333 0.383

---

PBE FeP2S, optimized geometry; density = 3.59 g/cm³; SG = No. 122; crystal system = tetragonal; formation energy without anion corrections = 58 kJ/mol of formula units
1.0
-2.646 2.646 4.957
2.646 -2.646 4.957
2.646 2.646 -4.957
Fe P S
2 4 2
Direct
0.000 0.000 0.000
0.750 0.250 0.500
0.076 0.625 0.951
0.375 0.326 0.451
0.674 0.125 0.049
0.875 0.924 0.549
0.250 0.750 0.500
0.500 0.500 0.000